(1)
Computed, not measured: a relaxed TaTe2PdI crystal at the PBE-GGA level of DFT.

Its total energy is -22.142 eV per cell. The energy above the most stable polymorph in this dataset comes out at 0 meV per atom. As for the crystal system: tetragonal. Its formation energy (no corrections) is 547 meV per atom.

The structure belongs to space group P4/mmm (No. 123); the cell edges are 5.361, 5.361 and 5.621 Å and the angles 90.00°, 90.00° and 90.00°. The inequivalent atoms are Ta at (0.000, 0.000, 0.000), Te at (0.000, 0.500, 0.000), Pd at (0.500, 0.500, 0.500) and I at (0.000, 0.000, 0.500).

=====

(2)
Computed, not measured: a relaxed TaTe2PdI crystal at the PBE-GGA level of DFT.

Its total energy is -19.668 eV per cell. The energy above the most stable polymorph in this dataset comes out at 495 meV per atom. As for the crystal system: tetragonal. Its formation energy (no corrections) is 1042 meV per atom.

The structure belongs to space group P4/mmm (No. 123); the cell edges are 5.220, 5.220 and 5.188 Å and the angles 90.00°, 90.00° and 90.00°. The inequivalent atoms are Ta at (0.000, 0.000, 0.000), Te at (0.000, 0.500, 0.500), Pd at (0.500, 0.500, 0.500) and I at (0.500, 0.500, 0.000).

=====

(3)
Computed, not measured: a relaxed Tb2PdI crystal at the PBE-GGA level of DFT.

Its total energy is -58.407 eV per cell. The energy above the most stable polymorph in this dataset comes out at 0 meV per atom. As for the crystal system: trigonal. Its formation energy (no corrections) is -866 meV per atom.

The structure belongs to space group R-3m (No. 166, hexagonal axes); the cell edges are 4.1605, 4.1605 and 23.7308 Å and the angles 90.00°, 90.00° and 120.00°. The inequivalent atoms are Tb at (0.0000, 0.0000, 0.2288), Pd at (0.0000, 0.0000, 0.5000) and I at (0.0000, 0.0000, 0.0000).

=====

(4)
Computed, not measured: a relaxed Tb2PdI2 crystal at the PBE-GGA level of DFT.

Its total energy is -69.020 eV per cell. As for the crystal system: trigonal. Its formation energy (no corrections) is -1091 meV per atom.

The structure belongs to space group R-3m (No. 166, hexagonal axes); the cell edges are 4.1236, 4.1236 and 35.3769 Å and the angles 90.00°, 90.00° and 120.00°. The inequivalent atoms are Tb at (0.0000, 0.0000, 0.1214), Pd at (0.0000, 0.0000, 0.5000) and I at (0.0000, 0.0000, 0.2726).

=====

(5)
Computed, not measured: a relaxed Tb7PdI12 crystal at the PBE-GGA level of DFT.

Its total energy is -241.496 eV per cell. As for the crystal system: trigonal. Its formation energy (no corrections) is -1215 meV per atom.

The structure belongs to space group R-3 (No. 148, hexagonal axes); the cell edges are 15.7915, 15.7915 and 10.7330 Å and the angles 90.00°, 90.00° and 120.00°. The inequivalent atoms are Tb at (0.0000, 0.0000, 0.0000), Tb at (0.0437, 0.8847, 0.3535), Pd at (0.0000, 0.0000, 0.5000), I at (0.0196, 0.4349, 0.1595) and I at (0.0507, 0.8693, 0.8400).

=====

(6)
Computed, not measured: a relaxed Tb2PdI crystal at the PBE-GGA level of DFT.

Its total energy is -58.273 eV per cell. The energy above the most stable polymorph in this dataset comes out at 11 meV per atom. As for the crystal system: trigonal. Its formation energy (no corrections) is -855 meV per atom.

The structure belongs to space group R3m (No. 160, hexagonal axes); the cell edges are 4.1571, 4.1571 and 23.8879 Å and the angles 90.00°, 90.00° and 120.00°. The inequivalent atoms are Tb at (0.0000, 0.0000, 0.0000), Tb at (0.0000, 0.0000, 0.2105), Pd at (0.0000, 0.0000, 0.6052) and I at (0.0000, 0.0000, 0.4367).

=====

Please write out number 2 again, unchanged.
Computed, not measured: a relaxed TaTe2PdI crystal at the PBE-GGA level of DFT.

Its total energy is -19.668 eV per cell. The energy above the most stable polymorph in this dataset comes out at 495 meV per atom. As for the crystal system: tetragonal. Its formation energy (no corrections) is 1042 meV per atom.

The structure belongs to space group P4/mmm (No. 123); the cell edges are 5.220, 5.220 and 5.188 Å and the angles 90.00°, 90.00° and 90.00°. The inequivalent atoms are Ta at (0.000, 0.000, 0.000), Te at (0.000, 0.500, 0.500), Pd at (0.500, 0.500, 0.500) and I at (0.500, 0.500, 0.000).